1.
A plane-wave DFT calculation with PBE was carried out for an optimized crystal structure of TaTiTlO6.

Cell and atoms, written as CIF:
```
data_TaTiTlO6
_chemical_formula_sum 'Ta2 Ti2 Tl2 O12'
_symmetry_space_group_name_H-M 'P 42 n m'
_symmetry_Int_Tables_number 102
_symmetry_space_group_name_Hall 'P 4n -2n'
_cell_length_a 4.8588
_cell_length_b 4.8588
_cell_length_c 9.5186
_cell_angle_alpha 90.00
_cell_angle_beta 90.00
_cell_angle_gamma 90.00
loop_
_atom_site_label
_atom_site_fract_x
_atom_site_fract_y
_atom_site_fract_z
_atom_site_occupancy
Ta1 0.0000 0.0000 0.0000 1
Ti1 0.0000 0.0000 0.6628 1
Tl1 0.0000 0.0000 0.3321 1
O1 0.1766 0.1766 0.8295 1
O2 0.2094 0.2094 0.5189 1
O3 0.2131 0.2131 0.1419 1
```


2.
A plane-wave DFT calculation with PBE was carried out for an optimized crystal structure of Cd2IrBr.

Cell and atoms, written as CIF:
```
data_Cd2IrBr
_chemical_formula_sum 'Cd6 Ir3 Br3'
_symmetry_space_group_name_H-M 'R -3 m'
_symmetry_Int_Tables_number 166
_symmetry_space_group_name_Hall '-R 3 2"'
_cell_length_a 3.3903
_cell_length_b 3.3903
_cell_length_c 25.7672
_cell_angle_alpha 90.00
_cell_angle_beta 90.00
_cell_angle_gamma 120.00
loop_
_atom_site_label
_atom_site_fract_x
_atom_site_fract_y
_atom_site_fract_z
_atom_site_occupancy
Cd1 0.0000 0.0000 0.2432 1
Ir1 0.0000 0.0000 0.5000 1
Br1 0.0000 0.0000 0.0000 1
```

Output
ΔE to the lowest computed polymorph: 0.165 eV per atom


Number 1: ΔE_f (raw) -1953 kJ/mol of formula units, ρ 7.82 g/cm³. Number 2: ΔE_f (raw) 71 kJ/mol of formula units, ρ 9.65 g/cm³.